DFT (PBE-GGA) results for an optimized crystal structure of ThVGa.

abc: 5.9881 5.9881 5.9881
angles: 146.91 146.91 47.50
Last column: nearest neighbours and their distance in Å.
Fractional coordinates of all 3 atoms:
Th 0.0000 0.0000 0.0000  5 V 3.18-3.40, 5 Ga 3.22-3.30, 4 Th 3.41
V 0.3104 0.3104 0.0000  4 Ga 2.67
Ga 0.7060 0.7060 0.0000  4 V 2.67

Output
distance to the lowest polymorph of the same formula	0.1614	eV/atom
ΔE_f	0.04	eV/atom
crystal system	tetragonal